Record 1
DFT (GGA-PBE) results for a geometry-optimized Ca2Cd2Bi structure.

The structure in POSCAR format:
```
Ca2Cd2Bi
1.0
6.096 0.000 0.000
0.000 6.096 0.000
3.048 3.048 4.430
Ca Bi Cd
2 1 2
Cartesian
6.096 3.048 2.215 Ca
3.048 6.096 2.215 Ca
0.000 0.000 0.000 Bi
3.048 3.048 1.344 Cd
6.096 6.096 3.086 Cd
```

Output
* density: 5.18 g/cm3
* energy above the lowest structure with this stoichiometry: 203 meV per atom
* space-group type: I4/mmm, No. 139

=====

Record 2
DFT (GGA-PBE) results for a geometry-optimized CaCd3Bi3 structure.

The structure in POSCAR format:
```
CaCd3Bi3
1.0
8.195 0.000 0.000
4.097 7.097 0.000
4.097 2.366 7.560
Ca Cd Bi
2 6 6
Cartesian
4.097 2.366 0.023 Ca
12.292 7.097 7.537 Ca
9.742 6.889 4.696 Cd
9.290 2.313 4.696 Cd
5.553 4.992 4.696 Cd
10.837 4.470 2.864 Cd
7.100 7.150 2.864 Cd
6.648 2.574 2.864 Cd
5.346 4.975 1.602 Bi
9.408 2.142 1.602 Bi
9.830 7.077 1.602 Bi
6.559 2.386 5.958 Bi
6.981 7.320 5.958 Bi
11.044 4.488 5.958 Bi
```

Output
* density: 7.59 g/cm3
* energy above the lowest structure with this stoichiometry: 0 meV per atom
* space-group type: R-3, No. 148

=====

no.,energy of formation (eV per atom),E (eV/atom)
1,-0.158,-2.10
2,-0.197,-2.54